No. 1
# Sr2LiCl GGA-PBE optimized geometry
data_Sr2LiCl
_chemical_formula_sum 'Sr8 Li4 Cl4'
_cell_length_a 8.622
_cell_length_b 8.622
_cell_length_c 8.622
_cell_angle_alpha 90.00
_cell_angle_beta 90.00
_cell_angle_gamma 90.00
_symmetry_space_group_name_H-M 'F -4 3 m'
_symmetry_Int_Tables_number 216
_symmetry_space_group_name_Hall 'F -4 2 3'
loop_
_atom_site_label
_atom_site_type_symbol
_atom_site_fract_x
_atom_site_fract_y
_atom_site_fract_z
Sr1 Sr 0.000 0.000 0.000
Sr2 Sr 0.250 0.250 0.250
Li1 Li 0.000 0.000 0.500
Cl1 Cl 0.250 0.250 0.750
# D(E_F) = 15.1 states/eV per cell
# total DFT energy (no corrections) = -1.939 eV per atom
# formation energy (no corrections) = -0.158 eV per atom
# mass density = 2255 kg/m3

---

No. 2
# Tb4Dy8Y GGA-PBE optimized geometry
data_Tb4Dy8Y
_chemical_formula_sum 'Tb12 Dy24 Y3'
_cell_length_a 7.2827
_cell_length_b 7.2827
_cell_length_c 27.2826
_cell_angle_alpha 90.00
_cell_angle_beta 90.00
_cell_angle_gamma 120.00
_symmetry_space_group_name_H-M 'R -3 m'
_symmetry_Int_Tables_number 166
_symmetry_space_group_name_Hall '-R 3 2"'
loop_
_atom_site_label
_atom_site_type_symbol
_atom_site_fract_x
_atom_site_fract_y
_atom_site_fract_z
Tb1 Tb 0.0000 0.0000 0.0000
Tb2 Tb 0.0000 0.5000 0.0000
Dy1 Dy 0.0000 0.0000 0.2160
Dy2 Dy 0.0370 0.5185 0.7675
Y1 Y 0.0000 0.0000 0.5000
# D(E_F) = 46.0 states/eV per cell
# total DFT energy (no corrections) = -4.537 eV per atom
# ΔH_f (0 K) = 0.217 eV/atom
# mass density = 8048 kg/m3